VASP calculation (PBE) on an optimized crystal structure of Pr2GaTe6Pb3.

## Properties
Crystal system: monoclinic
D(E_F): 0.39 states/eV per atom
Formation energy (no corrections): -0.715 eV per atom

a b c (Å): 20.056 4.552 9.309
angles (deg): 90.00 103.98 90.00
Space group C2/m (No. 12)
Symmetry-distinct sites (fractional):
1 Pr 0.167 0.000 0.344
2 Ga 0.000 0.500 0.000
3 Te 0.004 0.000 0.247
4 Te 0.168 0.500 0.097
5 Te 0.168 0.500 0.592
6 Pb 0.000 0.500 0.500
7 Pb 0.161 0.000 0.849